Compound: TmScHgBi
Source: the Alexandria database
Functional: GGA-PBE
Structure: relaxed

total magnetization: 0.005 μB/atom
space group: No. 216
E_tot: -4.143 eV/atom
energy of formation from the pure elements: -0.396 eV/atom

Cell: 5.2361 5.2361 5.2361 Å, 60.00 60.00 60.00°
Atoms (fractional coordinates):
Tm  0.0000  0.0000  0.0000
Sc  0.5000  0.5000  0.5000
Hg  0.2500  0.2500  0.2500
Bi  0.7500  0.7500  0.7500